1.
Y4CuSiC2: optimized geometry, PBE.

Values from the calculation:
For the calculated density, the calculation gives 4.840 g cm⁻³. The electronic total energy is -6.95 eV per atom.

a b c (Å): 3.632 3.632 14.155
angles (deg): 90.00 90.00 120.00
Sites, in units of the cell vectors:
Cu1 0.000 0.000 0.000
Y1 0.667 0.333 0.153
C1 0.333 0.667 0.243
Y2 0.000 0.000 0.345
Si1 0.667 0.333 0.500
Y3 0.667 0.333 0.847
Y4 0.000 0.000 0.655
C2 0.333 0.667 0.757

---

2.
Zr4CuSiC2: optimized geometry, PBE.

Values from the calculation:
For the calculated density, the calculation gives 6.143 g cm⁻³. The electronic total energy is -8.29 eV per atom.

a b c (Å): 3.326 3.326 13.556
angles (deg): 90.00 90.00 120.00
Sites, in units of the cell vectors:
C1 0.333 0.667 0.251
Zr1 0.000 0.000 0.653
Zr2 0.667 0.333 0.845
Cu1 0.667 0.333 0.500
Si1 0.000 0.000 0.000
C2 0.333 0.667 0.749
Zr3 0.000 0.000 0.347
Zr4 0.667 0.333 0.155

---

3.
Y4CuSnC2: optimized geometry, PBE.

Values from the calculation:
For the calculated density, the calculation gives 5.506 g cm⁻³. The electronic total energy is -6.87 eV per atom.

a b c (Å): 3.643 3.643 14.746
angles (deg): 90.00 90.00 120.00
Sites, in units of the cell vectors:
C1 0.333 0.667 0.268
Cu1 0.667 0.333 0.500
Y1 0.000 0.000 0.358
Y2 0.667 0.333 0.824
Sn1 0.000 0.000 0.000
Y3 0.667 0.333 0.176
Y4 0.000 0.000 0.642
C2 0.333 0.667 0.732

---

4.
Ta4CuC3: optimized geometry, PBE.

Values from the calculation:
For the calculated density, the calculation gives 13.531 g cm⁻³. The electronic total energy is -10.28 eV per atom.

a b c (Å): 3.133 3.133 23.779
angles (deg): 90.00 90.00 120.00
Sites, in units of the cell vectors:
C1 0.667 0.333 0.111
C2 0.667 0.333 0.389
Ta1 0.333 0.667 0.056
Ta2 0.000 0.000 0.839
Ta3 0.000 0.000 0.661
Ta4 0.333 0.667 0.444
C3 0.333 0.667 0.889
Cu1 0.333 0.667 0.250
C4 0.000 0.000 0.500
Ta5 0.667 0.333 0.556
Ta6 0.000 0.000 0.161
C5 0.000 0.000 0.000
Cu2 0.667 0.333 0.750
Ta7 0.667 0.333 0.944
C6 0.333 0.667 0.611
Ta8 0.000 0.000 0.339

---

5.
Ta3CuC2: optimized geometry, PBE.

Values from the calculation:
For the calculated density, the calculation gives 13.306 g cm⁻³. The electronic total energy is -9.98 eV per atom.

a b c (Å): 3.172 3.172 18.055
angles (deg): 90.00 90.00 120.00
Sites, in units of the cell vectors:
C1 0.667 0.333 0.926
Ta1 0.000 0.000 0.000
Ta2 0.667 0.333 0.136
C2 0.667 0.333 0.574
Ta3 0.000 0.000 0.500
Cu1 0.000 0.000 0.250
Cu2 0.000 0.000 0.750
Ta4 0.667 0.333 0.364
Ta5 0.333 0.667 0.636
Ta6 0.333 0.667 0.864
C3 0.333 0.667 0.074
C4 0.333 0.667 0.426

---

6.
Ta2Cu3W4C3: optimized geometry, PBE.

Values from the calculation:
For the calculated density, the calculation gives 13.839 g cm⁻³. The electronic total energy is -9.51 eV per atom.

a b c (Å): 5.314 5.314 13.347
angles (deg): 101.49 101.49 60.00
Sites, in units of the cell vectors:
W1 0.197 0.025 0.585
C1 0.820 0.340 0.500
W2 0.860 0.694 0.585
W3 0.694 0.860 0.085
W4 0.975 0.803 0.915
Cu1 0.584 0.839 0.750
C2 0.000 0.500 0.000
Ta1 0.465 0.631 0.395
W5 0.803 0.975 0.415
Cu2 0.416 0.161 0.250
C3 0.340 0.820 0.000
W6 0.306 0.140 0.915
Cu3 0.005 0.995 0.750
Cu4 0.839 0.584 0.250
Cu5 0.161 0.416 0.750
C4 0.180 0.660 0.500
Ta2 0.631 0.465 0.895
Ta3 0.369 0.535 0.105
W7 0.140 0.306 0.415
C5 0.500 0.000 0.500
C6 0.660 0.180 0.000
W8 0.025 0.197 0.085
Ta4 0.535 0.369 0.605
Cu6 0.995 0.005 0.250